# Sr2SiRh2

A relaxed structure of Sr2SiRh2 (PBE, Alexandria via LeMat-Bulk).

The structure belongs to space group I4/mmm (No. 139); the cell edges are 5.987, 5.987 and 7.205 Å and the angles 90.00°, 90.00° and 90.00°. The inequivalent atoms are Sr at (0.000, 0.500, 0.250), Si at (0.000, 0.000, 0.000) and Rh at (0.000, 0.000, 0.309).

The total DFT energy (no corrections) comes out at -4.910 eV per atom. For the raw formation energy, the calculation gives -0.212 eV per atom.